# 1
The following is a PBEsol calculation of a relaxed structure of HgAu2, from Alexandria.

Calculated values
* symmetry: Fd-3m (227)
* energy relative to the elements: 0.041 eV per atom
* calculated density: 16.895 g cm⁻³
* crystal system: cubic
* total magnetic moment: 0.00 μB per cell

Unit cell a=5.488 b=5.488 c=5.488 alpha=60.00 beta=60.00 gamma=60.00
Element x y z (fractional)
Hg: 0.125 0.125 0.125
Hg: 0.875 0.875 0.875
Au: 0.000 0.500 0.500
Au: 0.500 0.000 0.500
Au: 0.500 0.500 0.000
Au: 0.500 0.500 0.500

=====

# 2
The following is a PBEsol calculation of a relaxed structure of HgAu2, from Alexandria.

Calculated values
* symmetry: I4_1/amd (141)
* energy relative to the elements: 0.144 eV per atom
* calculated density: 16.516 g cm⁻³
* crystal system: tetragonal
* total magnetic moment: 0.00 μB per cell

Unit cell a=3.518 b=3.518 c=19.316 alpha=90.00 beta=90.00 gamma=90.00
Element x y z (fractional)
Hg: 0.000 0.250 0.375
Hg: 0.000 0.750 0.625
Hg: 0.500 0.250 0.125
Hg: 0.500 0.750 0.875
Au: 0.000 0.250 0.802
Au: 0.000 0.250 0.948
Au: 0.000 0.750 0.052
Au: 0.000 0.750 0.198
Au: 0.500 0.250 0.552
Au: 0.500 0.250 0.698
Au: 0.500 0.750 0.302
Au: 0.500 0.750 0.448

=====

# 3
The following is a PBEsol calculation of a relaxed structure of Hg3AuI, from Alexandria.

Calculated values
* symmetry: Pm-3m (221)
* calculated density: 10.304 g cm⁻³
* formation energy (no corrections): -0.7 meV per atom
* crystal system: cubic
* total magnetic moment: 0.00 μB per cell

Unit cell a=5.304 b=5.304 c=5.304 alpha=90.00 beta=90.00 gamma=90.00
Element x y z (fractional)
Hg: 0.000 0.000 0.500
Hg: 0.000 0.500 0.000
Hg: 0.500 0.000 0.000
Au: 0.000 0.000 0.000
I: 0.500 0.500 0.500

=====

# 4
The following is a PBEsol calculation of a relaxed structure of HgAuIN2, from Alexandria.

Calculated values
* symmetry: P4/mmm (123)
* calculated density: 7.635 g cm⁻³
* formation energy (no corrections): 1497.0 meV per atom
* crystal system: tetragonal
* total magnetic moment: 3.16 μB per cell

Unit cell a=4.042 b=4.042 c=7.354 alpha=90.00 beta=90.00 gamma=90.00
Element x y z (fractional)
Hg: 0.000 0.000 0.000
Au: 0.500 0.500 0.500
I: 0.500 0.500 0.000
N: 0.000 0.500 0.500
N: 0.500 0.000 0.500

=====

# 5
The following is a PBEsol calculation of a relaxed structure of HgAuIO2, from Alexandria.

Calculated values
* symmetry: P4/mmm (123)
* calculated density: 8.488 g cm⁻³
* formation energy (no corrections): 376.3 meV per atom
* crystal system: tetragonal
* total magnetic moment: 1.27 μB per cell

Unit cell a=4.015 b=4.015 c=6.755 alpha=90.00 beta=90.00 gamma=90.00
Element x y z (fractional)
Hg: 0.000 0.000 0.000
Au: 0.500 0.500 0.500
I: 0.500 0.500 0.000
O: 0.000 0.500 0.500
O: 0.500 0.000 0.500

=====

# 6
The following is a PBEsol calculation of a relaxed structure of HgAuI2O, from Alexandria.

Calculated values
* symmetry: P4/mmm (123)
* calculated density: 8.323 g cm⁻³
* formation energy (no corrections): 551.5 meV per atom
* crystal system: tetragonal
* total magnetic moment: 0.34 μB per cell

Unit cell a=5.770 b=5.770 c=4.000 alpha=90.00 beta=90.00 gamma=90.00
Element x y z (fractional)
Hg: 0.000 0.000 0.000
Au: 0.500 0.500 0.500
I: 0.000 0.500 0.000
I: 0.500 0.000 0.000
O: 0.000 0.000 0.500

=====

# 7
The following is a PBEsol calculation of a relaxed structure of InHg2Au, from Alexandria.

Calculated values
* symmetry: R3m (160)
* energy relative to the elements: -0.027 eV per atom
* calculated density: 13.150 g cm⁻³
* crystal system: trigonal
* total magnetic moment: 0.00 μB per cell

Unit cell a=3.547 b=3.547 c=24.783 alpha=90.00 beta=90.00 gamma=120.00
Element x y z (fractional)
In: 0.000 0.000 0.000
In: 0.333 0.667 0.667
In: 0.667 0.333 0.333
Hg: 0.000 0.000 0.243
Hg: 0.000 0.000 0.488
Hg: 0.333 0.667 0.155
Hg: 0.333 0.667 0.910
Hg: 0.667 0.333 0.576
Hg: 0.667 0.333 0.822
Au: 0.000 0.000 0.742
Au: 0.333 0.667 0.409
Au: 0.667 0.333 0.075

=====

# 8
The following is a PBEsol calculation of a relaxed structure of InHg2Au, from Alexandria.

Calculated values
* symmetry: Pm (6)
* energy relative to the elements: -0.041 eV per atom
* calculated density: 13.414 g cm⁻³
* crystal system: monoclinic
* total magnetic moment: 0.00 μB per cell

Unit cell a=3.784 b=4.189 c=5.862 alpha=90.00 beta=108.21 gamma=90.00
Element x y z (fractional)
In: 0.000 0.000 0.000
Hg: 0.322 0.500 0.610
Hg: 0.755 0.000 0.472
Au: 0.550 0.500 0.117